No. 1
Here is a relaxed LiIrOs crystal from Alexandria via LeMat-Bulk. Energies are from GGA-PBE.

Output
Energy relative to the lowest polymorph listed for this composition (kJ/mol of formula units): 14
Total energy (eV/atom): -7.312

Unit cell a=4.5572 b=4.6072 c=4.9502 alpha=65.13 beta=66.47 gamma=61.64
Space group P-1 (No. 2)
One atom of each set of equivalent atoms:
Li 0.0836 0.2513 0.2400
Ir 0.2445 0.0882 0.7471
Os 0.4059 0.5814 0.2512

---

No. 2
Here is a relaxed AcTm2Sb crystal from Alexandria via LeMat-Bulk. Energies are from GGA-PBE.

Output
Energy relative to the lowest polymorph listed for this composition (kJ/mol of formula units): 37
Total energy (eV/atom): -4.620
ΔE_f (raw) (eV per atom): -0.3267

Unit cell a=4.0502 b=4.0502 c=29.3678 alpha=90.00 beta=90.00 gamma=120.00
Space group R3m (No. 160, hexagonal axes)
One atom of each set of equivalent atoms:
Ac 0.0000 0.0000 0.0000
Tm 0.0000 0.0000 0.5624
Tm 0.0000 0.0000 0.7683
Sb 0.0000 0.0000 0.1649

---

No. 3
Here is a relaxed Nd2As4Rh3 crystal from Alexandria via LeMat-Bulk. Energies are from GGA-PBE.

Output
Total energy (eV/atom): -6.380

Unit cell a=5.6061 b=10.0657 c=12.4597 alpha=90.00 beta=90.00 gamma=90.00
Space group Fmmm (No. 69)
One atom of each set of equivalent atoms:
Nd 0.0000 0.0000 0.1408
As 0.0000 0.1598 0.3467
Rh 0.0000 0.0000 0.5000
Rh 0.2500 0.2500 0.0000

---

Q: Among the records above, which one has the highest total energy?
A: AcTm2Sb